1.
# MgAgN2O (GGA-PBE, relaxed)
# Mass density ... 4.264 g/cm³
# Size of the total moment ... 2.5 Bohr magnetons per cell
# Symmetry ... No. 123
data_MgAgN2O
_chemical_formula_sum 'Mg1 Ag1 N2 O1'
_cell_length_a 4.0172
_cell_length_b 4.0172
_cell_length_c 4.2514
_cell_angle_alpha 90.00
_cell_angle_beta 90.00
_cell_angle_gamma 90.00
_space_group_name_H-M_alt 'P 1'
_space_group_IT_number 1
_space_group_name_Hall 'P 1'
loop_
_atom_site_label
_atom_site_fract_x
_atom_site_fract_y
_atom_site_fract_z
_atom_site_occupancy
Mg1 0.0000 0.0000 0.0000 1
Ag1 0.5000 0.5000 0.5000 1
N1 0.0000 0.5000 0.5000 1
N2 0.5000 0.0000 0.5000 1
O1 0.5000 0.5000 0.0000 1



2.
# MgAgNO2 (GGA-PBE, relaxed)
# Mass density ... 4.457 g/cm³
# Size of the total moment ... 1.2 Bohr magnetons per cell
# Symmetry ... No. 123
data_MgAgNO2
_chemical_formula_sum 'Mg1 Ag1 N1 O2'
_cell_length_a 4.1127
_cell_length_b 4.1127
_cell_length_c 3.9246
_cell_angle_alpha 90.00
_cell_angle_beta 90.00
_cell_angle_gamma 90.00
_space_group_name_H-M_alt 'P 1'
_space_group_IT_number 1
_space_group_name_Hall 'P 1'
loop_
_atom_site_label
_atom_site_fract_x
_atom_site_fract_y
_atom_site_fract_z
_atom_site_occupancy
Mg1 0.0000 0.0000 0.0000 1
Ag1 0.5000 0.5000 0.5000 1
N1 0.5000 0.5000 0.0000 1
O1 0.0000 0.5000 0.5000 1
O2 0.5000 0.0000 0.5000 1



3.
# MgAgNO2 (GGA-PBE, relaxed)
# Mass density ... 4.528 g/cm³
# Size of the total moment ... 2.4 Bohr magnetons per cell
# Symmetry ... No. 123
data_MgAgNO2
_chemical_formula_sum 'Mg1 Ag1 N1 O2'
_cell_length_a 3.9137
_cell_length_b 3.9137
_cell_length_c 4.2660
_cell_angle_alpha 90.00
_cell_angle_beta 90.00
_cell_angle_gamma 90.00
_space_group_name_H-M_alt 'P 1'
_space_group_IT_number 1
_space_group_name_Hall 'P 1'
loop_
_atom_site_label
_atom_site_fract_x
_atom_site_fract_y
_atom_site_fract_z
_atom_site_occupancy
Mg1 0.0000 0.0000 0.0000 1
Ag1 0.5000 0.5000 0.5000 1
N1 0.0000 0.0000 0.5000 1
O1 0.0000 0.5000 0.0000 1
O2 0.5000 0.0000 0.0000 1



4.
# MgAgPd2N (GGA-PBE, relaxed)
# Mass density ... 8.106 g/cm³
# Size of the total moment ... 0.0 Bohr magnetons per cell
# Symmetry ... No. 123
data_MgAgPd2N
_chemical_formula_sum 'Mg1 Ag1 Pd2 N1'
_cell_length_a 4.2383
_cell_length_b 4.2383
_cell_length_c 4.0942
_cell_angle_alpha 90.00
_cell_angle_beta 90.00
_cell_angle_gamma 90.00
_space_group_name_H-M_alt 'P 1'
_space_group_IT_number 1
_space_group_name_Hall 'P 1'
loop_
_atom_site_label
_atom_site_fract_x
_atom_site_fract_y
_atom_site_fract_z
_atom_site_occupancy
Mg1 0.0000 0.0000 0.0000 1
Ag1 0.5000 0.5000 0.0000 1
Pd1 0.0000 0.5000 0.5000 1
Pd2 0.5000 0.0000 0.5000 1
N1 0.0000 0.0000 0.5000 1



5.
# Mg2AgRhN (GGA-PBE, relaxed)
# Mass density ... 6.050 g/cm³
# Size of the total moment ... 0.0 Bohr magnetons per cell
# Symmetry ... No. 123
data_Mg2AgRhN
_chemical_formula_sum 'Mg2 Ag1 Rh1 N1'
_cell_length_a 4.3713
_cell_length_b 4.3713
_cell_length_c 3.9268
_cell_angle_alpha 90.00
_cell_angle_beta 90.00
_cell_angle_gamma 90.00
_space_group_name_H-M_alt 'P 1'
_space_group_IT_number 1
_space_group_name_Hall 'P 1'
loop_
_atom_site_label
_atom_site_fract_x
_atom_site_fract_y
_atom_site_fract_z
_atom_site_occupancy
Mg1 0.0000 0.5000 0.0000 1
Mg2 0.5000 0.0000 0.0000 1
Ag1 0.0000 0.0000 0.5000 1
Rh1 0.5000 0.5000 0.5000 1
N1 0.5000 0.5000 0.0000 1



6.
# MgAgS2N (GGA-PBE, relaxed)
# Mass density ... 3.757 g/cm³
# Size of the total moment ... 0.0 Bohr magnetons per cell
# Relative energy among the computed polymorphs ... 52 meV per atom
# Symmetry ... No. 123
data_MgAgS2N
_chemical_formula_sum 'Mg1 Ag1 S2 N1'
_cell_length_a 4.8673
_cell_length_b 4.8673
_cell_length_c 3.9232
_cell_angle_alpha 90.00
_cell_angle_beta 90.00
_cell_angle_gamma 90.00
_space_group_name_H-M_alt 'P 1'
_space_group_IT_number 1
_space_group_name_Hall 'P 1'
loop_
_atom_site_label
_atom_site_fract_x
_atom_site_fract_y
_atom_site_fract_z
_atom_site_occupancy
Mg1 0.0000 0.0000 0.0000 1
Ag1 0.5000 0.5000 0.5000 1
S1 0.0000 0.5000 0.0000 1
S2 0.5000 0.0000 0.0000 1
N1 0.0000 0.0000 0.5000 1



The records above yield calculated total energy values of -3.98, -4.04, -4.16, -4.72, -4.60, -3.36 eV per atom, respectively.
The records above yield formation energy from raw total energies values of 1.229, 0.502, 0.375, -0.091, -0.258, 0.849 eV/atom, respectively.